Below is an optimized crystal structure of AcSnMo, with properties calculated at the PBE level.

Values from the calculation:
Density of states at the Fermi level (states/eV/f.u.): 2.145
Calculated density (g/cm³): 9.01
Energy of formation (eV per atom): 0.156
Energy (eV/atom): -6.16

a b c (Å): 3.626 3.626 12.376
angles (deg): 90.00 90.00 90.00
Space group P4/nmm (No. 129, origin choice 2)
Inequivalent atoms, fractional coordinates:
Ac (0.250, 0.250, 0.231) [2 per cell]
Sn (0.250, 0.250, 0.568) [2 per cell]
Mo (0.250, 0.250, 0.969) [2 per cell]

---

Below is an optimized crystal structure of Y5AlSi2, with properties calculated at the PBE level.

Values from the calculation:
ΔE_f (raw) (eV per atom): -0.58
Density of states at the Fermi level (states/eV/f.u.): 6.559
Calculated density (g/cm³): 4.32
Energy (eV/atom): -6.45

a b c (Å): 7.621 7.621 13.983
angles (deg): 90.00 90.00 90.00
Space group I4/mcm (No. 140)
Inequivalent atoms, fractional coordinates:
Y (0.000, 0.000, 0.000) [4 per cell]
Y (0.172, 0.328, 0.141) [16 per cell]
Al (0.000, 0.000, 0.250) [4 per cell]
Si (0.124, 0.376, 0.500) [8 per cell]

---

Below is an optimized crystal structure of HgRuBr4, with properties calculated at the PBE level.

Values from the calculation:
ΔE_f (raw) (eV per atom): 1.08
Density of states at the Fermi level (states/eV/f.u.): 10.256
Calculated density (g/cm³): 5.96
Energy (eV/atom): -1.63

a b c (Å): 8.846 8.846 8.846
angles (deg): 90.00 90.00 90.00
Space group F-43m (No. 216)
Inequivalent atoms, fractional coordinates:
Hg (0.000, 0.000, 0.000) [4 per cell]
Ru (0.250, 0.250, 0.750) [4 per cell]
Br (0.124, 0.124, 0.376) [16 per cell]

---

Below is an optimized crystal structure of Sr2AcZn2Sn2, with properties calculated at the PBE level.

Values from the calculation:
Density of states at the Fermi level (states/eV/f.u.): 5.378
Calculated density (g/cm³): 5.41
Energy of formation (eV per atom): -0.463
Energy (eV/atom): -3.04

a b c (Å): 4.5976 4.5976 38.7870
angles (deg): 90.00 90.00 120.00
Space group R-3m (No. 166, hexagonal axes)
Inequivalent atoms, fractional coordinates:
Sr (0.0000, 0.0000, 0.1198) [6 per cell]
Ac (0.0000, 0.0000, 0.0000) [3 per cell]
Zn (0.0000, 0.0000, 0.3877) [6 per cell]
Sn (0.0000, 0.0000, 0.2710) [6 per cell]